Here is a relaxed structure of ZrCd2As from Alexandria. Energies are from PBE.

The structure in CIF format:
```
data_ZrCd2As
_chemical_formula_sum 'Zr1 Cd2 As1'
_cell_length_a 3.6741
_cell_length_b 3.6741
_cell_length_c 6.4012
_cell_angle_alpha 90.00
_cell_angle_beta 90.00
_cell_angle_gamma 90.00
_space_group_name_H-M_alt 'P 4 m m'
_space_group_IT_number 99
loop_
_space_group_symop_operation_xyz
'x,y,z'
'-y,x,z'
'-x,-y,z'
'y,-x,z'
'-x,y,z'
'y,x,z'
'x,-y,z'
'-y,-x,z'
loop_
_atom_site_label
_atom_site_fract_x
_atom_site_fract_y
_atom_site_fract_z
Zr1 0.0000 0.0000 0.0000
Cd1 0.0000 0.0000 0.4738
Cd2 0.5000 0.5000 0.7094
As1 0.5000 0.5000 0.1534
```

The formation energy is -0.325 eV/atom.


Here is a relaxed structure of Pm6Sb3O from Alexandria. Energies are from PBE.

The structure in CIF format:
```
data_Pm6Sb3O
_chemical_formula_sum 'Pm24 Sb12 O4'
_cell_length_a 11.9610
_cell_length_b 14.7080
_cell_length_c 7.1726
_cell_angle_alpha 90.00
_cell_angle_beta 90.00
_cell_angle_gamma 90.00
_space_group_name_H-M_alt 'C m c 21'
_space_group_IT_number 36
loop_
_space_group_symop_operation_xyz
'x,y,z'
'-x,-y,z+1/2'
'-x,y,z'
'x,-y,z+1/2'
'x+1/2,y+1/2,z'
'-x+1/2,-y+1/2,z+1/2'
'-x+1/2,y+1/2,z'
'x+1/2,-y+1/2,z+1/2'
loop_
_atom_site_label
_atom_site_fract_x
_atom_site_fract_y
_atom_site_fract_z
Pm1 0.0000 0.0551 0.0000
Pm2 0.0000 0.2313 0.4241
Pm3 0.1595 0.2653 0.9646
Pm4 0.1658 0.4677 0.4497
Sb1 0.0000 0.3909 0.7434
Sb2 0.1652 0.1045 0.6608
O1 0.0000 0.2019 0.1095
```

For the formation energy from raw total energies, the calculation gives -1.17 eV/atom.


Here is a relaxed structure of ReTe2Br from Alexandria. Energies are from PBE.

The structure in CIF format:
```
data_ReTe2Br
_chemical_formula_sum 'Re1 Te2 Br1'
_cell_length_a 3.1690
_cell_length_b 3.1690
_cell_length_c 10.4199
_cell_angle_alpha 90.00
_cell_angle_beta 90.00
_cell_angle_gamma 90.00
_space_group_name_H-M_alt 'P 4 m m'
_space_group_IT_number 99
loop_
_space_group_symop_operation_xyz
'x,y,z'
'-y,x,z'
'-x,-y,z'
'y,-x,z'
'-x,y,z'
'y,x,z'
'x,-y,z'
'-y,-x,z'
loop_
_atom_site_label
_atom_site_fract_x
_atom_site_fract_y
_atom_site_fract_z
Re1 0.0000 0.0000 0.0000
Te1 0.0000 0.0000 0.4935
Te2 0.5000 0.5000 0.1544
Br1 0.5000 0.5000 0.8299
```

For the formation energy from raw total energies, the calculation gives 0.44 eV/atom. The distance to the lowest polymorph of the same formula is 1.904 eV/f.u.


Here is a relaxed structure of Na3Hg2Bi3Pb from Alexandria. Energies are from PBE.

The structure in CIF format:
```
data_Na3Hg2Bi3Pb
_chemical_formula_sum 'Na3 Hg2 Bi3 Pb1'
_cell_length_a 9.3301
_cell_length_b 9.3301
_cell_length_c 3.4916
_cell_angle_alpha 90.00
_cell_angle_beta 90.00
_cell_angle_gamma 120.00
_space_group_name_H-M_alt 'P -6 2 m'
_space_group_IT_number 189
_space_group_name_Hall 'P -6 -2'
loop_
_atom_site_label
_atom_site_fract_x
_atom_site_fract_y
_atom_site_fract_z
Na1 0.0000 0.3692 0.0000
Hg1 0.3333 0.6667 0.5000
Bi1 0.0000 0.6843 0.5000
Pb1 0.0000 0.0000 0.0000
```

The formation energy is -0.196 eV/atom.


Here is a relaxed structure of LiTl2As from Alexandria. Energies are from PBE.

The structure in CIF format:
```
data_LiTl2As
_chemical_formula_sum 'Li1 Tl2 As1'
_cell_length_a 3.2569
_cell_length_b 4.2120
_cell_length_c 7.5248
_cell_angle_alpha 90.00
_cell_angle_beta 93.24
_cell_angle_gamma 90.00
_space_group_name_H-M_alt 'P 1 m 1'
_space_group_IT_number 6
loop_
_space_group_symop_operation_xyz
'x,y,z'
'x,-y,z'
loop_
_atom_site_label
_atom_site_fract_x
_atom_site_fract_y
_atom_site_fract_z
Li1 0.0000 0.0000 0.0000
Tl1 0.0015 0.5000 0.3173
Tl2 0.4889 0.0000 0.6471
As1 0.4863 0.5000 0.9657
```

The formation energy is -0.156 eV/atom. The distance to the lowest polymorph of the same formula is 0.305 eV/f.u.


Here is a relaxed structure of Tb3ErHg2C from Alexandria. Energies are from PBE.

The structure in CIF format:
```
data_Tb3ErHg2C
_chemical_formula_sum 'Tb6 Er2 Hg4 C2'
_cell_length_a 4.8485
_cell_length_b 4.9558
_cell_length_c 14.8823
_cell_angle_alpha 90.00
_cell_angle_beta 90.00
_cell_angle_gamma 90.00
_space_group_name_H-M_alt 'I m m m'
_space_group_IT_number 71
_space_group_name_Hall '-I 2 2'
loop_
_atom_site_label
_atom_site_fract_x
_atom_site_fract_y
_atom_site_fract_z
Tb1 0.0000 0.0000 0.0000
Tb2 0.0000 0.5000 0.1668
Er1 0.0000 0.0000 0.5000
Hg1 0.0000 0.5000 0.3691
C1 0.0000 0.5000 0.0000
```

The formation energy is -0.358 eV/atom.


Here is a relaxed structure of ScB2As4 from Alexandria. Energies are from PBE.

The structure in CIF format:
```
data_ScB2As4
_chemical_formula_sum 'Sc2 B4 As8'
_cell_length_a 5.2085
_cell_length_b 5.2085
_cell_length_c 10.7404
_cell_angle_alpha 90.00
_cell_angle_beta 90.00
_cell_angle_gamma 90.00
_space_group_name_H-M_alt 'I 4/m m m'
_space_group_IT_number 139
_space_group_name_Hall '-I 4 2'
loop_
_atom_site_label
_atom_site_fract_x
_atom_site_fract_y
_atom_site_fract_z
Sc1 0.0000 0.0000 0.0000
B1 0.0000 0.0000 0.4270
As1 0.0000 0.0000 0.2501
As2 0.0000 0.5000 0.0000
```

The formation energy is 0.467 eV/atom.


Here is a relaxed structure of PuHfPb from Alexandria. Energies are from PBE.

The structure in CIF format:
```
data_PuHfPb
_chemical_formula_sum 'Pu2 Hf2 Pb2'
_cell_length_a 3.2079
_cell_length_b 3.2079
_cell_length_c 14.9018
_cell_angle_alpha 90.00
_cell_angle_beta 90.00
_cell_angle_gamma 90.00
_space_group_name_H-M_alt 'I 4 m m'
_space_group_IT_number 107
_space_group_name_Hall 'I 4 -2'
loop_
_atom_site_label
_atom_site_fract_x
_atom_site_fract_y
_atom_site_fract_z
Pu1 0.0000 0.0000 0.0000
Hf1 0.0000 0.0000 0.6582
Pb1 0.0000 0.0000 0.3213
```

The formation energy is 0.067 eV/atom. The distance to the lowest polymorph of the same formula is 0.000 eV/f.u.


Here is a relaxed structure of Na2AlZn2 from Alexandria. Energies are from PBE.

The structure in CIF format:
```
data_Na2AlZn2
_chemical_formula_sum 'Na4 Al2 Zn4'
_cell_length_a 4.4413
_cell_length_b 5.2222
_cell_length_c 9.7254
_cell_angle_alpha 90.00
_cell_angle_beta 90.00
_cell_angle_gamma 90.00
_space_group_name_H-M_alt 'I m m m'
_space_group_IT_number 71
_space_group_name_Hall '-I 2 2'
loop_
_atom_site_label
_atom_site_fract_x
_atom_site_fract_y
_atom_site_fract_z
Na1 0.0000 0.0000 0.1990
Al1 0.0000 0.5000 0.0000
Zn1 0.0000 0.2553 0.5000
```

The formation energy is 0.024 eV/atom. The distance to the lowest polymorph of the same formula is 0.000 eV/f.u.


Here is a relaxed structure of Na5AcPb6 from Alexandria. Energies are from PBE.

The structure in CIF format:
```
data_Na5AcPb6
_chemical_formula_sum 'Na5 Ac1 Pb6'
_cell_length_a 4.9931
_cell_length_b 9.7159
_cell_length_c 7.8374
_cell_angle_alpha 90.00
_cell_angle_beta 108.08
_cell_angle_gamma 90.00
_space_group_name_H-M_alt 'P 1 2/m 1'
_space_group_IT_number 10
loop_
_space_group_symop_operation_xyz
'x,y,z'
'-x,-y,-z'
'-x,y,-z'
'x,-y,z'
loop_
_atom_site_label
_atom_site_fract_x
_atom_site_fract_y
_atom_site_fract_z
Na1 0.0000 0.0000 0.0000
Na2 0.3204 0.5000 0.6408
Na3 0.3329 0.0000 0.6667
Ac1 0.0000 0.5000 0.0000
Pb1 0.1725 0.2440 0.3404
Pb2 0.5000 0.2459 0.0000
```

The formation energy is -0.182 eV/atom.


Here is a relaxed structure of POs3O from Alexandria. Energies are from PBE.

The structure in CIF format:
```
data_POs3O
_chemical_formula_sum 'P1 Os3 O1'
_cell_length_a 4.0847
_cell_length_b 4.0847
_cell_length_c 4.0847
_cell_angle_alpha 90.00
_cell_angle_beta 90.00
_cell_angle_gamma 90.00
_space_group_name_H-M_alt 'P m -3 m'
_space_group_IT_number 221
_space_group_name_Hall '-P 4 2 3'
loop_
_atom_site_label
_atom_site_fract_x
_atom_site_fract_y
_atom_site_fract_z
P1 0.0000 0.0000 0.0000
Os1 0.0000 0.5000 0.5000
O1 0.5000 0.5000 0.5000
```

For the formation energy from raw total energies, the calculation gives 1.20 eV/atom. The distance to the lowest polymorph of the same formula is 0.000 eV/f.u.


Here is a relaxed structure of CsRu2RhC from Alexandria. Energies are from PBE.

The structure in CIF format:
```
data_CsRu2RhC
_chemical_formula_sum 'Cs1 Ru2 Rh1 C1'
_cell_length_a 4.9788
_cell_length_b 4.9788
_cell_length_c 4.9424
_cell_angle_alpha 90.00
_cell_angle_beta 90.00
_cell_angle_gamma 90.00
_space_group_name_H-M_alt 'P 4/m m m'
_space_group_IT_number 123
_space_group_name_Hall '-P 4 2'
loop_
_atom_site_label
_atom_site_fract_x
_atom_site_fract_y
_atom_site_fract_z
Cs1 0.0000 0.0000 0.0000
Ru1 0.0000 0.5000 0.0000
Rh1 0.0000 0.0000 0.5000
C1 0.5000 0.5000 0.5000
```

The formation energy is 3.899 eV/atom.


Number 1: raw total energy -4.0819 eV per atom. Number 2: raw total energy -5.7546 eV per atom. Number 3: raw total energy -4.6648 eV per atom. Number 4: raw total energy -2.4081 eV per atom. Number 5: raw total energy -2.9800 eV per atom. Number 6: raw total energy -4.3983 eV per atom. Number 7: raw total energy -5.0024 eV per atom. Number 8: raw total energy -9.2640 eV per atom. Number 9: raw total energy -1.7617 eV per atom. Number 10: raw total energy -2.9284 eV per atom. Number 11: raw total energy -7.6098 eV per atom. Number 12: raw total energy -3.2969 eV per atom.